VASP calculation (PBE) on an optimized crystal structure of Sc2Be9Ru.

Output
Energy relative to the elements   -127 meV per atom

a b c (Å): 7.724 7.724 7.724
angles (deg): 33.75 33.75 33.75
Element x y z (fractional)
1 Sc 0.140 0.140 0.140
2 Sc 0.860 0.860 0.860
3 Be 0.078 0.575 0.575
4 Be 0.334 0.334 0.334
5 Be 0.425 0.425 0.922
6 Be 0.425 0.922 0.425
7 Be 0.500 0.500 0.500
8 Be 0.575 0.078 0.575
9 Be 0.575 0.575 0.078
10 Be 0.666 0.666 0.666
11 Be 0.922 0.425 0.425
12 Ru 0.000 0.000 0.000